# MnIrC PBE relaxed
data_MnIrC
_cell_length_a 2.633
_cell_length_b 4.113
_cell_length_c 7.735
_cell_angle_alpha 90.00
_cell_angle_beta 90.00
_cell_angle_gamma 90.00
_space_group_name_H-M_alt 'P 1'
_space_group_IT_number 1
_space_group_name_Hall 'P 1'
loop_
_atom_site_label
_atom_site_fract_x
_atom_site_fract_y
_atom_site_fract_z
C1 0.000 0.000 0.365
C2 0.000 0.500 0.865
Ir1 0.000 0.000 0.124
Ir2 0.000 0.500 0.624
Mn1 0.500 0.000 0.537
Mn2 0.500 0.500 0.037
# - Energy of formation: 0.71 eV per atom
# - Total magnetic moment: 0.000 μB per atom
# - Space group: Amm2, No. 38
# - VASP energy: -8.37 eV per atom
# - Crystal system: orthorhombic
# - Polymorph energy (0 for the lowest one): 0.462 eV/atom

***

# MnIr2C PBE relaxed
data_MnIr2C
_cell_length_a 6.570
_cell_length_b 6.570
_cell_length_c 5.278
_cell_angle_alpha 51.51
_cell_angle_beta 51.51
_cell_angle_gamma 90.00
_space_group_name_H-M_alt 'P 1'
_space_group_IT_number 1
_space_group_name_Hall 'P 1'
loop_
_atom_site_label
_atom_site_fract_x
_atom_site_fract_y
_atom_site_fract_z
C1 0.500 0.500 0.000
C2 0.250 0.750 0.500
Ir1 0.517 0.125 0.250
Ir2 0.233 0.625 0.250
Ir3 0.375 0.483 0.750
Ir4 0.875 0.767 0.750
Mn1 0.000 0.000 0.000
Mn2 0.750 0.250 0.500
# - Energy of formation: 0.35 eV per atom
# - Total magnetic moment: 1.019 μB per atom
# - Space group: I-42d, No. 122
# - VASP energy: -8.68 eV per atom
# - Crystal system: tetragonal
# - Polymorph energy (0 for the lowest one): 0.000 eV/atom

***

# Mn2IrC PBE relaxed
data_Mn2IrC
_cell_length_a 2.806
_cell_length_b 2.806
_cell_length_c 6.607
_cell_angle_alpha 77.74
_cell_angle_beta 77.74
_cell_angle_gamma 60.00
_space_group_name_H-M_alt 'P 1'
_space_group_IT_number 1
_space_group_name_Hall 'P 1'
loop_
_atom_site_label
_atom_site_fract_x
_atom_site_fract_y
_atom_site_fract_z
Mn1 0.057 0.057 0.830
Mn2 0.276 0.276 0.171
Ir1 0.501 0.501 0.496
C1 0.665 0.665 0.004
# - Energy of formation: -0.06 eV per atom
# - Total magnetic moment: 0.912 μB per atom
# - Space group: R3m, No. 160
# - VASP energy: -9.16 eV per atom
# - Crystal system: trigonal
# - Polymorph energy (0 for the lowest one): 0.000 eV/atom